(1)
Below is an optimized crystal structure of YCuCO4, with properties calculated at the GGA-PBE level.

Properties
uncorrected energy	-7.303	eV per atom
formation energy from raw total energies	-1.64	eV per atom
M_tot	0.00	Bohr magnetons per cell

a = 5.337 Å, b = 7.544 Å, c = 7.592 Å
α = 90.00°, β = 90.00°, γ = 90.00°
Space group Imma (No. 74)
Asymmetric unit:
Y  0.000  0.000  0.000 x4
Cu  0.250  0.250  0.250 x4
C  0.000  0.250  0.619 x4
O  0.000  0.097  0.701 x8
O  0.235  0.250  0.490 x8

(2)
Below is an optimized crystal structure of CuOs3C, with properties calculated at the GGA-PBE level.

Properties
uncorrected energy	-5.899	eV per atom
formation enthalpy at 0 K	3.50	eV per atom
energy above the most stable polymorph in this dataset	2819.2	meV/atom
M_tot	1.67	Bohr magnetons per cell

a = 4.426 Å, b = 4.426 Å, c = 4.426 Å
α = 90.00°, β = 90.00°, γ = 90.00°
Space group Pm-3m (No. 221)
Asymmetric unit:
Cu  0.000  0.000  0.000 x1
Os  0.000  0.000  0.500 x3
C  0.500  0.500  0.500 x1

(3)
Below is an optimized crystal structure of CuOsC2, with properties calculated at the GGA-PBE level.

Properties
uncorrected energy	-7.526	eV per atom
formation enthalpy at 0 K	0.92	eV per atom
energy above the most stable polymorph in this dataset	0.0	meV/atom
M_tot	0.00	Bohr magnetons per cell

a = 4.589 Å, b = 4.589 Å, c = 9.166 Å
α = 90.00°, β = 90.00°, γ = 90.00°
Space group I-42d (No. 122)
Asymmetric unit:
Cu  0.000  0.000  0.000 x4
Os  0.000  0.000  0.500 x4
C  0.230  0.250  0.625 x8

(4)
Below is an optimized crystal structure of Cu2OsC, with properties calculated at the GGA-PBE level.

Properties
uncorrected energy	-5.406	eV per atom
formation enthalpy at 0 K	1.76	eV per atom
M_tot	7.88	Bohr magnetons per cell

a = 4.172 Å, b = 4.172 Å, c = 12.494 Å
α = 90.00°, β = 90.00°, γ = 90.00°
Space group I-42d (No. 122)
Asymmetric unit:
Cu  0.110  0.250  0.125 x8
Os  0.000  0.000  0.500 x4
C  0.000  0.000  0.000 x4

- Among the records above, which one has the lowest uncorrected energy?
  CuOsC2

Repeat the first record exactly.
Below is an optimized crystal structure of YCuCO4, with properties calculated at the GGA-PBE level.

Properties
uncorrected energy	-7.303	eV per atom
formation energy from raw total energies	-1.64	eV per atom
M_tot	0.00	Bohr magnetons per cell

a = 5.337 Å, b = 7.544 Å, c = 7.592 Å
α = 90.00°, β = 90.00°, γ = 90.00°
Space group Imma (No. 74)
Asymmetric unit:
Y  0.000  0.000  0.000 x4
Cu  0.250  0.250  0.250 x4
C  0.000  0.250  0.619 x4
O  0.000  0.097  0.701 x8
O  0.235  0.250  0.490 x8